(1)
First-principles (PBE-GGA) data for Li2Pr2ScTl2 after structural relaxation, as listed in Alexandria.

Unit cell a=4.792 b=4.792 c=9.511 alpha=75.41 beta=75.41 gamma=60.00
Fractional coordinates of all 7 atoms:
Tl1 0.729 0.729 0.812
Tl2 0.271 0.271 0.188
Li1 0.382 0.382 0.854
Li2 0.618 0.618 0.146
Pr1 0.125 0.125 0.626
Pr2 0.875 0.875 0.374
Sc1 0.000 0.000 0.000

Computed properties:
- DFT formation energy: -0.18 eV per atom
- SG: No. 166

---

(2)
First-principles (PBE-GGA) data for LiPr4Se4 after structural relaxation, as listed in Alexandria.

Unit cell a=6.014 b=8.747 c=8.747 alpha=90.00 beta=90.00 gamma=90.00
Fractional coordinates of all 18 atoms:
Pr1 0.774 0.787 0.500
Pr2 0.274 0.000 0.713
Pr3 0.726 0.287 0.000
Pr4 0.226 0.500 0.213
Pr5 0.726 0.713 0.000
Pr6 0.774 0.213 0.500
Pr7 0.274 0.000 0.287
Pr8 0.226 0.500 0.787
Se1 0.234 0.773 0.000
Se2 0.266 0.727 0.500
Se3 0.234 0.227 0.000
Se4 0.734 0.500 0.727
Se5 0.266 0.273 0.500
Se6 0.766 0.000 0.227
Se7 0.734 0.500 0.273
Se8 0.766 0.000 0.773
Li1 0.000 0.000 0.000
Li2 0.500 0.500 0.500

Computed properties:
- SG: No. 137
- Formation energy from raw total energies: -1.5335 eV per atom

---

(3)
First-principles (PBE-GGA) data for Li3Pr2Se4 after structural relaxation, as listed in Alexandria.

Unit cell a=4.185 b=4.185 c=14.538 alpha=90.46 beta=89.54 gamma=120.06
Fractional coordinates of all 9 atoms:
Se1 0.006 0.994 0.644
Se2 0.335 0.665 0.895
Se3 0.994 0.006 0.356
Se4 0.665 0.335 0.105
Li1 0.661 0.339 0.405
Li2 0.000 0.000 0.000
Li3 0.339 0.661 0.595
Pr1 0.670 0.330 0.777
Pr2 0.330 0.670 0.223

Computed properties:
- SG: No. 12
- Formation energy from raw total energies: -1.4793 eV per atom

---

(4)
First-principles (PBE-GGA) data for Li3PrSe3 after structural relaxation, as listed in Alexandria.

Unit cell a=7.463 b=7.463 c=8.171 alpha=62.83 beta=62.83 gamma=60.00
Fractional coordinates of all 14 atoms:
Se1 0.918 0.270 0.256
Se2 0.444 0.082 0.744
Se3 0.082 0.730 0.744
Se4 0.730 0.444 0.744
Se5 0.270 0.556 0.256
Se6 0.556 0.918 0.256
Li1 0.190 0.870 0.367
Li2 0.870 0.573 0.367
Li3 0.427 0.810 0.633
Li4 0.573 0.190 0.367
Li5 0.130 0.427 0.633
Li6 0.810 0.130 0.633
Pr1 0.666 0.666 0.001
Pr2 0.334 0.334 0.999

Computed properties:
- SG: No. 148
- Formation energy from raw total energies: -1.4769 eV per atom

---

(5)
First-principles (PBE-GGA) data for Li2Pr5Se6 after structural relaxation, as listed in Alexandria.

Unit cell a=4.093 b=11.179 c=14.317 alpha=90.00 beta=90.00 gamma=90.00
Fractional coordinates of all 26 atoms:
Pr1 0.500 0.087 0.259
Pr2 0.500 0.661 0.503
Pr3 0.500 0.913 0.741
Pr4 0.500 0.161 0.997
Pr5 0.500 0.339 0.497
Pr6 0.500 0.839 0.003
Pr7 0.500 0.500 0.000
Pr8 0.500 0.000 0.500
Pr9 0.500 0.413 0.759
Pr10 0.500 0.587 0.241
Se1 0.000 0.166 0.405
Se2 0.000 0.666 0.095
Se3 0.500 0.831 0.335
Se4 0.000 0.012 0.116
Se5 0.000 0.834 0.595
Se6 0.500 0.169 0.665
Se7 0.000 0.988 0.884
Se8 0.500 0.669 0.835
Se9 0.500 0.331 0.165
Se10 0.000 0.512 0.384
Se11 0.000 0.488 0.616
Se12 0.000 0.334 0.905
Li1 0.000 0.666 0.728
Li2 0.000 0.166 0.772
Li3 0.000 0.834 0.228
Li4 0.000 0.334 0.272

Computed properties:
- SG: No. 55
- Formation energy from raw total energies: -1.5696 eV per atom

---

(6)
First-principles (PBE-GGA) data for LiPrSe after structural relaxation, as listed in Alexandria.

Unit cell a=7.184 b=11.271 c=6.800 alpha=145.98 beta=90.00 gamma=90.00
Fractional coordinates of all 12 atoms:
Se1 0.275 0.950 0.000
Se2 0.725 0.050 0.000
Se3 0.225 0.450 0.000
Se4 0.775 0.550 0.000
Li1 0.000 0.792 0.584
Li2 0.500 0.708 0.416
Li3 0.500 0.292 0.584
Li4 0.000 0.208 0.416
Pr1 0.365 0.210 0.000
Pr2 0.865 0.290 0.000
Pr3 0.135 0.710 0.000
Pr4 0.635 0.790 0.000

Computed properties:
- SG: No. 64
- E above lowest polymorph: 229 meV/atom
- Formation energy from raw total energies: -0.9473 eV per atom

---

(7)
First-principles (PBE-GGA) data for LiPrSe after structural relaxation, as listed in Alexandria.

Unit cell a=4.211 b=4.190 c=4.190 alpha=120.00 beta=90.00 gamma=90.00
Fractional coordinates of all 3 atoms:
Li1 0.167 0.667 0.333
Pr1 0.667 0.333 0.667
Se1 0.167 0.000 0.000

Computed properties:
- SG: No. 187
- E above lowest polymorph: 0 meV/atom
- Formation energy from raw total energies: -1.1759 eV per atom

---

(8)
First-principles (PBE-GGA) data for LiPr4Se7 after structural relaxation, as listed in Alexandria.

Unit cell a=4.163 b=7.179 c=12.092 alpha=104.33 beta=90.00 gamma=106.85
Fractional coordinates of all 12 atoms:
Pr1 0.702 0.404 0.801
Pr2 0.010 0.020 0.989
Pr3 0.314 0.628 0.218
Pr4 0.108 0.215 0.445
Se1 0.965 0.929 0.214
Se2 0.040 0.081 0.763
Se3 0.731 0.461 0.359
Se4 0.669 0.338 0.055
Se5 0.273 0.545 0.655
Se6 0.467 0.935 0.477
Se7 0.347 0.694 0.953
Li1 0.875 0.750 0.570

Computed properties:
- SG: No. 8
- Formation energy from raw total energies: -1.6472 eV per atom

---

(9)
First-principles (PBE-GGA) data for LiPr4Se6 after structural relaxation, as listed in Alexandria.

Unit cell a=8.248 b=8.248 c=8.248 alpha=89.23 beta=89.23 gamma=90.77
Fractional coordinates of all 22 atoms:
Se1 0.688 0.060 0.082
Se2 0.188 0.418 0.440
Se3 0.560 0.188 0.582
Se4 0.418 0.560 0.812
Se5 0.060 0.918 0.312
Se6 0.918 0.688 0.940
Se7 0.812 0.582 0.560
Se8 0.082 0.312 0.060
Se9 0.940 0.082 0.688
Se10 0.440 0.812 0.418
Se11 0.582 0.440 0.188
Se12 0.312 0.940 0.918
Pr1 0.250 0.636 0.136
Pr2 0.136 0.750 0.636
Pr3 0.750 0.364 0.864
Pr4 0.364 0.136 0.250
Pr5 0.250 0.250 0.750
Pr6 0.636 0.864 0.750
Pr7 0.864 0.250 0.364
Pr8 0.750 0.750 0.250
Li1 0.500 0.500 0.500
Li2 0.000 0.000 0.000

Computed properties:
- SG: No. 167
- Formation energy from raw total energies: -1.7647 eV per atom

---

(10)
First-principles (PBE-GGA) data for Li5PrSe4 after structural relaxation, as listed in Alexandria.

Unit cell a=4.185 b=7.580 c=8.313 alpha=117.12 beta=104.58 gamma=90.00
Fractional coordinates of all 10 atoms:
Li1 0.821 0.613 0.641
Li2 0.179 0.972 0.359
Li3 0.179 0.387 0.359
Li4 0.821 0.028 0.641
Li5 0.500 0.500 0.000
Se1 0.000 0.728 0.000
Se2 0.715 0.215 0.429
Se3 0.000 0.272 0.000
Se4 0.285 0.785 0.571
Pr1 0.500 0.000 0.000

Computed properties:
- SG: No. 71
- Formation energy from raw total energies: -1.3794 eV per atom

---

(11)
First-principles (PBE-GGA) data for LiPr4Sm3Se8 after structural relaxation, as listed in Alexandria.

Unit cell a=8.391 b=8.417 c=8.391 alpha=119.90 beta=120.00 gamma=90.00
Fractional coordinates of all 16 atoms:
Sm1 0.500 0.500 0.500
Sm2 0.500 0.500 0.000
Sm3 0.000 0.500 0.500
Li1 0.000 0.500 0.000
Pr1 0.000 0.000 0.500
Pr2 0.500 0.000 0.000
Pr3 0.500 0.000 0.500
Pr4 0.000 0.000 0.000
Se1 0.241 0.736 0.483
Se2 0.759 0.264 0.005
Se3 0.246 0.264 0.005
Se4 0.759 0.264 0.517
Se5 0.253 0.258 0.505
Se6 0.754 0.736 0.995
Se7 0.747 0.742 0.495
Se8 0.241 0.736 0.995

Computed properties:
- SG: No. 166
- Formation energy from raw total energies: -1.7972 eV per atom

---

(12)
First-principles (PBE-GGA) data for LiPr3Sm2Se6 after structural relaxation, as listed in Alexandria.

Unit cell a=7.251 b=7.251 c=7.292 alpha=99.59 beta=99.59 gamma=120.17
Fractional coordinates of all 12 atoms:
Pr1 0.833 0.167 0.500
Pr2 0.167 0.833 0.500
Pr3 0.500 0.500 0.500
Sm1 0.665 0.335 0.000
Sm2 0.335 0.665 0.000
Se1 0.243 0.243 0.765
Se2 0.922 0.598 0.764
Se3 0.598 0.922 0.764
Se4 0.402 0.078 0.236
Se5 0.078 0.402 0.236
Se6 0.757 0.757 0.235
Li1 0.000 0.000 0.000

Computed properties:
- SG: No. 12
- Formation energy from raw total energies: -1.7938 eV per atom

---

(13)
First-principles (PBE-GGA) data for LiPr2SmSe4 after structural relaxation, as listed in Alexandria.

Unit cell a=4.189 b=7.252 c=7.242 alpha=70.57 beta=90.00 gamma=90.00
Fractional coordinates of all 8 atoms:
Se1 0.500 0.265 0.740
Se2 0.000 0.263 0.253
Se3 0.000 0.737 0.747
Se4 0.500 0.735 0.260
Pr1 0.500 0.000 0.500
Pr2 0.000 0.000 0.000
Li1 0.000 0.500 0.500
Sm1 0.500 0.500 0.000

Computed properties:
- SG: No. 10
- Formation energy from raw total energies: -1.7625 eV per atom

---

(14)
First-principles (PBE-GGA) data for Li2PrSmSe4 after structural relaxation, as listed in Alexandria.

Unit cell a=4.199 b=7.271 c=6.964 alpha=110.32 beta=90.00 gamma=90.00
Fractional coordinates of all 8 atoms:
Se1 0.000 0.252 0.742
Se2 0.000 0.748 0.258
Se3 0.500 0.742 0.740
Se4 0.500 0.258 0.260
Sm1 0.500 0.500 0.000
Li1 0.000 0.500 0.500
Li2 0.500 0.000 0.500
Pr1 0.000 0.000 0.000

Computed properties:
- SG: No. 10
- Formation energy from raw total energies: -1.6632 eV per atom

---

(15)
First-principles (PBE-GGA) data for Li2PrSnSe4 after structural relaxation, as listed in Alexandria.

Unit cell a=4.118 b=6.927 c=7.196 alpha=69.93 beta=90.00 gamma=90.00
Fractional coordinates of all 8 atoms:
Se1 0.000 0.762 0.754
Se2 0.500 0.238 0.764
Se3 0.000 0.238 0.246
Se4 0.500 0.762 0.236
Li1 0.500 0.000 0.500
Li2 0.000 0.000 0.000
Sn1 0.500 0.500 0.000
Pr1 0.000 0.500 0.500

Computed properties:
- SG: No. 10
- Formation energy from raw total energies: -1.1561 eV per atom

---

(16)
First-principles (PBE-GGA) data for LiPrSn2Se4 after structural relaxation, as listed in Alexandria.

Unit cell a=4.254 b=7.464 c=7.211 alpha=71.19 beta=90.00 gamma=90.00
Fractional coordinates of all 8 atoms:
Se1 0.500 0.740 0.248
Se2 0.000 0.740 0.755
Se3 0.000 0.260 0.245
Se4 0.500 0.260 0.752
Sn1 0.500 0.000 0.500
Sn2 0.000 0.000 0.000
Pr1 0.000 0.500 0.500
Li1 0.500 0.500 0.000

Computed properties:
- SG: No. 10
- Formation energy from raw total energies: -0.9958 eV per atom

---

(17)
First-principles (PBE-GGA) data for LiPr2Sn3Se6 after structural relaxation, as listed in Alexandria.

Unit cell a=4.369 b=8.505 c=9.592 alpha=104.71 beta=103.16 gamma=90.00
Fractional coordinates of all 12 atoms:
Se1 0.668 0.574 0.337
Se2 0.338 0.922 0.677
Se3 0.999 0.757 0.999
Se4 0.001 0.243 0.001
Se5 0.332 0.426 0.663
Se6 0.662 0.078 0.323
Sn1 0.500 0.500 0.000
Sn2 0.841 0.145 0.681
Sn3 0.159 0.855 0.319
Pr1 0.163 0.325 0.327
Pr2 0.837 0.675 0.673
Li1 0.500 0.000 0.000

Computed properties:
- SG: No. 12
- Formation energy from raw total energies: -1.0046 eV per atom

---

(18)
First-principles (PBE-GGA) data for LiPr2SnSe4 after structural relaxation, as listed in Alexandria.

Unit cell a=4.226 b=7.414 c=7.262 alpha=70.97 beta=90.00 gamma=90.00
Fractional coordinates of all 8 atoms:
Se1 0.000 0.257 0.255
Se2 0.500 0.256 0.744
Se3 0.500 0.744 0.256
Se4 0.000 0.743 0.745
Sn1 0.500 0.500 0.000
Li1 0.000 0.500 0.500
Pr1 0.500 0.000 0.500
Pr2 0.000 0.000 0.000

Computed properties:
- SG: No. 10
- Formation energy from raw total energies: -1.3457 eV per atom

---

(19)
First-principles (PBE-GGA) data for Li2PrSn3Se6 after structural relaxation, as listed in Alexandria.

Unit cell a=7.153 b=7.153 c=7.386 alpha=99.25 beta=99.25 gamma=120.08
Fractional coordinates of all 12 atoms:
Se1 0.419 0.081 0.241
Se2 0.919 0.581 0.759
Se3 0.256 0.256 0.755
Se4 0.744 0.744 0.245
Se5 0.581 0.919 0.759
Se6 0.081 0.419 0.241
Sn1 0.164 0.836 0.500
Sn2 0.836 0.164 0.500
Sn3 0.500 0.500 0.500
Li1 0.671 0.329 0.000
Li2 0.329 0.671 0.000
Pr1 0.000 0.000 0.000

Computed properties:
- SG: No. 12
- Formation energy from raw total energies: -0.8878 eV per atom

---

(20)
First-principles (PBE-GGA) data for LiPrSnSe3 after structural relaxation, as listed in Alexandria.

Unit cell a=4.077 b=8.875 c=9.158 alpha=99.32 beta=90.00 gamma=90.00
Fractional coordinates of all 12 atoms:
Li1 0.750 0.904 0.412
Li2 0.250 0.096 0.588
Sn1 0.250 0.657 0.161
Sn2 0.750 0.343 0.839
Se1 0.750 0.399 0.148
Se2 0.250 0.601 0.852
Se3 0.750 0.197 0.466
Se4 0.250 0.803 0.534
Se5 0.750 0.900 0.127
Se6 0.250 0.100 0.873
Pr1 0.750 0.836 0.781
Pr2 0.250 0.164 0.219

Computed properties:
- SG: No. 11
- Formation energy from raw total energies: -1.2070 eV per atom